(1)
Material: Cs2NiBr
Method: DFT, GGA-PBE
State: relaxed

Cell: 8.833 8.833 8.833 Å, 90.00 90.00 90.00°
Fractional coordinates of all 16 atoms:
Cs: 0.250 0.250 0.250
Cs: 0.250 0.250 0.750
Cs: 0.250 0.750 0.250
Cs: 0.250 0.750 0.750
Cs: 0.750 0.250 0.250
Cs: 0.750 0.250 0.750
Cs: 0.750 0.750 0.250
Cs: 0.750 0.750 0.750
Ni: 0.000 0.000 0.000
Ni: 0.000 0.500 0.500
Ni: 0.500 0.000 0.500
Ni: 0.500 0.500 0.000
Br: 0.000 0.000 0.500
Br: 0.000 0.500 0.000
Br: 0.500 0.000 0.000
Br: 0.500 0.500 0.500

Computed properties:
space group = No. 225
ΔE_f (raw) = -0.2515 eV per atom
ρ = 3.90 Mg/m³
M_tot = 4.00 μB per cell



(2)
Material: CsNiBr2
Method: DFT, GGA-PBE
State: relaxed

Cell: 7.947 7.947 8.164 Å, 90.00 90.00 90.00°
Fractional coordinates of all 16 atoms:
Cs: 0.000 0.000 0.000
Cs: 0.000 0.500 0.250
Cs: 0.500 0.000 0.750
Cs: 0.500 0.500 0.500
Ni: 0.000 0.000 0.500
Ni: 0.000 0.500 0.750
Ni: 0.500 0.000 0.250
Ni: 0.500 0.500 0.000
Br: 0.126 0.250 0.625
Br: 0.250 0.626 0.875
Br: 0.250 0.874 0.375
Br: 0.374 0.250 0.125
Br: 0.626 0.750 0.125
Br: 0.750 0.126 0.375
Br: 0.750 0.374 0.875
Br: 0.874 0.750 0.625

Computed properties:
space group = No. 122
ΔE_f (raw) = -0.8072 eV per atom
ρ = 4.53 Mg/m³
M_tot = 4.00 μB per cell